TaGaSeBr2: single point on PBEsol structure, SCAN.

It has space group P4/mmm (No. 123), with a = 5.133 Å, b = 5.133 Å, c = 4.962 Å, α = 90.00°, β = 90.00° and γ = 90.00°. The asymmetric unit holds Ta at (0.000, 0.000, 0.000), Ga at (0.500, 0.500, 0.500), Se at (0.000, 0.000, 0.500) and Br at (0.000, 0.500, 0.000).

The total energy comes out at -142.73 eV per cell.